# 1
# Pm2ThTl2Cd2 (PBE, relaxed)
data_Pm2ThTl2Cd2
_cell_length_a 5.0658
_cell_length_b 5.0658
_cell_length_c 26.7792
_cell_angle_alpha 90.00
_cell_angle_beta 90.00
_cell_angle_gamma 120.00
_symmetry_space_group_name_H-M 'R -3 m'
_symmetry_Int_Tables_number 166
_symmetry_space_group_name_Hall '-R 3 2"'
loop_
_atom_site_label
_atom_site_fract_x
_atom_site_fract_y
_atom_site_fract_z
Pm1 0.0000 0.0000 0.1311
Th1 0.0000 0.0000 0.0000
Tl1 0.0000 0.0000 0.2715
Cd1 0.0000 0.0000 0.4197
# Fermi-level density of states = 4.95 states/eV/f.u.
# Formation enthalpy at 0 K = -91 meV/atom

***

# 2
# Ca2ThAu3 (PBE, relaxed)
data_Ca2ThAu3
_cell_length_a 5.2126
_cell_length_b 5.2126
_cell_length_c 6.3218
_cell_angle_alpha 90.00
_cell_angle_beta 90.00
_cell_angle_gamma 120.00
_symmetry_space_group_name_H-M 'P -3 m 1'
_symmetry_Int_Tables_number 164
_symmetry_space_group_name_Hall '-P 3 2"'
loop_
_atom_site_label
_atom_site_fract_x
_atom_site_fract_y
_atom_site_fract_z
Ca1 0.3333 0.6667 0.1463
Th1 0.0000 0.0000 0.5000
Au1 0.0000 0.0000 0.0000
Au2 0.3333 0.6667 0.6358
# Fermi-level density of states = 4.06 states/eV/f.u.
# Formation enthalpy at 0 K = -736 meV/atom

***

# 3
# Tb2Pm3Sm6Pu (PBE, relaxed)
data_Tb2Pm3Sm6Pu
_cell_length_a 6.251
_cell_length_b 10.838
_cell_length_c 11.918
_cell_angle_alpha 90.00
_cell_angle_beta 100.16
_cell_angle_gamma 90.00
_symmetry_space_group_name_H-M 'C 1 2/m 1'
_symmetry_Int_Tables_number 12
_symmetry_space_group_name_Hall '-C 2y'
loop_
_atom_site_label
_atom_site_fract_x
_atom_site_fract_y
_atom_site_fract_z
Tb1 0.000 0.166 0.000
Pm1 0.000 0.000 0.500
Pm2 0.000 0.333 0.500
Sm1 0.246 0.335 0.245
Sm2 0.248 0.500 0.755
Pu1 0.000 0.500 0.000
# Fermi-level density of states = 24.74 states/eV/f.u.
# Formation enthalpy at 0 K = 49 meV/atom

***

# 4
# Hg2MoPb (PBE, relaxed)
data_Hg2MoPb
_cell_length_a 11.382
_cell_length_b 3.031
_cell_length_c 5.337
_cell_angle_alpha 90.00
_cell_angle_beta 103.66
_cell_angle_gamma 90.00
_symmetry_space_group_name_H-M 'C 1 m 1'
_symmetry_Int_Tables_number 8
_symmetry_space_group_name_Hall 'C -2y'
loop_
_atom_site_label
_atom_site_fract_x
_atom_site_fract_y
_atom_site_fract_z
Hg1 0.000 0.000 0.000
Hg2 0.228 0.000 0.839
Mo1 0.186 0.500 0.342
Pb1 0.423 0.000 0.466
# Fermi-level density of states = 2.74 states/eV/f.u.
# Formation enthalpy at 0 K = 560 meV/atom

***

# 5
# KSb2F (PBE, relaxed)
data_KSb2F
_cell_length_a 7.419
_cell_length_b 7.419
_cell_length_c 7.419
_cell_angle_alpha 90.00
_cell_angle_beta 90.00
_cell_angle_gamma 90.00
_symmetry_space_group_name_H-M 'F m -3 m'
_symmetry_Int_Tables_number 225
_symmetry_space_group_name_Hall '-F 4 2 3'
loop_
_atom_site_label
_atom_site_fract_x
_atom_site_fract_y
_atom_site_fract_z
K1 0.000 0.000 0.000
Sb1 0.250 0.250 0.250
F1 0.000 0.000 0.500
# Fermi-level density of states = 0.75 states/eV/f.u.
# Raw formation energy = -0.126 eV/atom

***

# 6
# ZnPOs (PBE, relaxed)
data_ZnPOs
_cell_length_a 2.9571
_cell_length_b 2.9571
_cell_length_c 5.9742
_cell_angle_alpha 90.00
_cell_angle_beta 90.00
_cell_angle_gamma 120.00
_symmetry_space_group_name_H-M 'P 3 m 1'
_symmetry_Int_Tables_number 156
_symmetry_space_group_name_Hall 'P 3 -2"'
loop_
_atom_site_label
_atom_site_fract_x
_atom_site_fract_y
_atom_site_fract_z
Zn1 0.0000 0.0000 0.0000
P1 0.6667 0.3333 0.6191
Os1 0.3333 0.6667 0.3539
# Fermi-level density of states = 1.74 states/eV/f.u.
# Formation enthalpy at 0 K = -19 meV/atom

***

# 7
# SrAlAg2 (PBE, relaxed)
data_SrAlAg2
_cell_length_a 3.603
_cell_length_b 3.603
_cell_length_c 7.194
_cell_angle_alpha 90.00
_cell_angle_beta 90.00
_cell_angle_gamma 90.00
_symmetry_space_group_name_H-M 'P 4 m m'
_symmetry_Int_Tables_number 99
_symmetry_space_group_name_Hall 'P 4 -2'
loop_
_atom_site_label
_atom_site_fract_x
_atom_site_fract_y
_atom_site_fract_z
Sr1 0.000 0.000 0.000
Al1 0.500 0.500 0.679
Ag1 0.000 0.000 0.518
Ag2 0.500 0.500 0.302
# Fermi-level density of states = 2.23 states/eV/f.u.
# Formation enthalpy at 0 K = -72 meV/atom

***

# 8
# NbV2H4 (PBE, relaxed)
data_NbV2H4
_cell_length_a 3.671
_cell_length_b 3.671
_cell_length_c 9.568
_cell_angle_alpha 90.00
_cell_angle_beta 90.00
_cell_angle_gamma 90.00
_symmetry_space_group_name_H-M 'I 4/m m m'
_symmetry_Int_Tables_number 139
_symmetry_space_group_name_Hall '-I 4 2'
loop_
_atom_site_label
_atom_site_fract_x
_atom_site_fract_y
_atom_site_fract_z
Nb1 0.000 0.000 0.000
V1 0.000 0.000 0.379
H1 0.000 0.000 0.195
H2 0.000 0.500 0.000
# Fermi-level density of states = 2.94 states/eV/f.u.

***

Theoretical density across the listed records, respectively: 9.673; 10.081; 7.936; 13.075; 4.906; 10.520; 5.872; 5.120 g cm⁻³.
Total DFT energy (no corrections) across the listed records, respectively: -24.123; -25.671; -65.573; -12.903; -11.719; -17.972; -11.413; -40.075 eV per formula unit.